PmFeF6 | Alexandria | GGA+U | relaxed; energy relative to the lowest polymorph listed for this composition = 49 meV per atom; total energy = -5.6704 eV per atom
1.0
2.732 1.578 4.842
-2.732 1.578 4.842
0.000 -3.155 4.842
Pm Fe F
1 1 6
Cartesian
0.000 0.000 0.000
0.000 0.000 7.263
-1.545 0.154 6.161
-0.906 -1.261 8.365
0.639 -1.416 6.161
-0.639 1.416 8.365
0.906 1.261 6.161
1.545 -0.154 8.365